Below is a geometry-optimized K3TaMn2O6 structure, with properties calculated at the GGA+U level.

It has space group C2/m (No. 12), with a = 5.664 Å, b = 9.822 Å, c = 6.404 Å, α = 90.00°, β = 106.98° and γ = 90.00°. Symmetry generates all atoms from K at (0.000, 0.000, 0.000), K at (0.000, 0.327, 0.000), Ta at (0.000, 0.500, 0.500), Mn at (0.000, 0.166, 0.500), O at (0.212, 0.349, 0.681) and O at (0.239, 0.500, 0.316).

For the density of states at the Fermi level, the calculation gives 0.00 states/eV/f.u. As for the total magnetization: 20.00 Bohr magnetons per cell. For the electronic total energy, the calculation gives -167.18 eV for the cell shown.